The following is a PBE calculation of an optimized crystal structure of LaYSeS, from Alexandria.

Results
Its formation energy without anion corrections is -2.00 eV per atom. Its crystal system is trigonal. The density is 5.7 g/cm³. The space-group type is R3m. The total magnetization comes out at 0.00 Bohr magnetons per cell.

a b c (Å): 4.092 4.092 7.220
angles (deg): 73.54 73.54 60.00
Sites, in units of the cell vectors:
S (0.007, 0.007, 0.980)
Se (0.494, 0.494, 0.517)
La (0.257, 0.257, 0.230)
Y (0.743, 0.743, 0.772)